## AlSb2O (meta-GGA SCAN)

Data for a PBEsol-optimized structure of AlSb2O.

abc: 7.580 7.580 7.580
angles: 139.08 139.08 59.25
Sites, in units of the cell vectors:
Al 0.000 0.000 0.000
Al 0.750 0.250 0.500
Sb 0.207 0.625 0.082
Sb 0.375 0.457 0.582
Sb 0.543 0.125 0.918
Sb 0.875 0.793 0.418
O 0.250 0.750 0.500
O 0.500 0.500 0.000

Output
The calculation puts the calculated density at 5.143 g/cm3. As for the space group: No. 122. The value obtained for the energy relative to the elements, uncorrected is -0.074 eV/atom. For the total magnetic moment, the calculation gives 0.00 Bohr magnetons per cell. The density of states at the Fermi level is 2.6 states/eV/f.u.

## IrPt3 (meta-GGA SCAN)

Data for a PBEsol-optimized structure of IrPt3.

abc: 4.743 4.743 4.771
angles: 99.73 99.73 33.95
Sites, in units of the cell vectors:
Ir 0.000 0.000 0.000
Pt 0.253 0.253 0.754
Pt 0.500 0.500 0.500
Pt 0.747 0.747 0.246

Output
The calculation puts the calculated density at 21.881 g/cm3. As for the space group: No. 12. For the total magnetic moment, the calculation gives 0.02 Bohr magnetons per cell. As for the formation energy: 0.095 eV/atom. The density of states at the Fermi level is 5.7 states/eV/f.u.

Number 2 is which compound?
IrPt3